1 | DFT (PBE) results for a relaxed structure of Zr3TiTe.

Unit cell a=5.2251 b=5.2251 c=5.2251 alpha=90.00 beta=90.00 gamma=90.00
Closest atoms and distances in Å follow each position.
Element x y z (fractional)
Zr (0.0000, 0.0000, 0.5000)  2 Te 2.61
Zr (0.0000, 0.5000, 0.0000)  2 Te 2.61
Zr (0.5000, 0.0000, 0.0000)  2 Te 2.61
Ti (0.5000, 0.5000, 0.5000)  12 Zr 3.69
Te (0.0000, 0.0000, 0.0000)  6 Zr 2.61

The density of states at the Fermi level is 5.91 states/eV/cell.

---

2 | DFT (PBE) results for a relaxed structure of Zr3TiTe.

Unit cell a=4.9914 b=4.9914 c=4.9914 alpha=90.00 beta=90.00 gamma=90.00
Closest atoms and distances in Å follow each position.
Element x y z (fractional)
Zr (0.0000, 0.0000, 0.5000)  2 Ti 2.50
Zr (0.0000, 0.5000, 0.0000)  2 Ti 2.50
Zr (0.5000, 0.0000, 0.0000)  2 Ti 2.50
Ti (0.0000, 0.0000, 0.0000)  6 Zr 2.50
Te (0.5000, 0.5000, 0.5000)  12 Zr 3.53

The density of states at the Fermi level is 10.01 states/eV/cell.

---

Which is the most stable structure? 2 is the most stable.

---

1 | DFT (PBE) results for a relaxed structure of TlTe5.

Unit cell a=4.4335 b=8.5977 c=8.5977 alpha=42.34 beta=90.00 gamma=90.00
Closest atoms and distances in Å follow each position.
Element x y z (fractional)
Tl (0.0000, 0.0000, 0.0000)  8 Te 3.81-3.83
Te (0.0000, 0.3597, 0.3597)  4 Te 2.95-3.15
Te (0.0000, 0.6397, 0.6397)  4 Te 2.95-3.15
Te (0.5000, 0.2380, 0.2380)  4 Te 2.95-3.13
Te (0.5000, 0.4997, 0.4997)  4 Te 3.15
Te (0.5000, 0.7614, 0.7614)  4 Te 2.95-3.13

The density of states at the Fermi level is 1.43 states/eV/cell.

---

2 | DFT (PBE) results for a relaxed structure of TlTe5.

Unit cell a=5.2799 b=5.2799 c=10.4964 alpha=95.23 beta=95.23 gamma=47.96
Closest atoms and distances in Å follow each position.
Element x y z (fractional)
Tl (0.0000, 0.0000, 0.0000)  5 Te 3.22-3.38
Te (0.2807, 0.2807, 0.8571)  2 Te 3.10, 3 Tl 3.22-3.27
Te (0.3537, 0.3537, 0.3118)  5 Te 3.01-3.31
Te (0.6407, 0.6407, 0.6733)  4 Te 2.95-3.10
Te (0.6417, 0.6417, 0.2249)  3 Te 3.01-3.04
Te (0.9799, 0.9799, 0.5334)  4 Te 2.95-3.31

The density of states at the Fermi level is 3.10 states/eV/cell.

---

3 | DFT (PBE) results for a relaxed structure of TlTe5.

Unit cell a=9.0049 b=9.0049 c=3.8661 alpha=90.00 beta=90.00 gamma=144.85
Closest atoms and distances in Å follow each position.
Element x y z (fractional)
Tl (0.0000, 0.0000, 0.0000)  12 Te 3.34-3.71
Te (0.1738, 0.8262, 0.5000)  6 Te 3.37-3.64, 2 Tl 3.55
Te (0.3531, 0.6469, 0.0000)  6 Te 3.18-3.37
Te (0.5000, 0.5000, 0.5000)  4 Te 3.18, 4 Tl 3.34
Te (0.6469, 0.3531, 0.0000)  6 Te 3.18-3.37
Te (0.8262, 0.1738, 0.5000)  6 Te 3.37-3.64, 2 Tl 3.55

The density of states at the Fermi level is 4.61 states/eV/cell.

---

Which is the most stable structure? 1 is the most stable.

---

1 | DFT (PBE) results for a relaxed structure of Tl5Te3.

Unit cell a=9.3009 b=9.3009 c=9.3009 alpha=120.77 beta=120.77 gamma=88.68
Closest atoms and distances in Å follow each position.
Element x y z (fractional)
Tl (0.0468, 0.4697, 0.7853)  4 Te 3.29-3.56, 1 Tl 3.50
Tl (0.2220, 0.0595, 0.5642)  4 Te 3.27-3.56, 1 Tl 3.40
Tl (0.2412, 0.2412, 0.0000)  2 Te 3.21-3.44, 4 Tl 3.40-3.50
Tl (0.3422, 0.7780, 0.8375)  4 Te 3.27-3.56, 1 Tl 3.40
Tl (0.4953, 0.6578, 0.4358)  4 Te 3.27-3.56, 1 Tl 3.40
Tl (0.5303, 0.3156, 0.5771)  4 Te 3.29-3.56, 1 Tl 3.50
Tl (0.6844, 0.2615, 0.2147)  4 Te 3.29-3.56, 1 Tl 3.50
Tl (0.7385, 0.9532, 0.4229)  4 Te 3.29-3.56, 1 Tl 3.50
Tl (0.7588, 0.7588, 0.0000)  2 Te 3.21-3.44, 4 Tl 3.40-3.50
Tl (0.9405, 0.5047, 0.1625)  4 Te 3.27-3.56, 1 Tl 3.40
Te (0.0000, 0.0000, 0.0000)  4 Te 3.07, 2 Tl 3.21
Te (0.1290, 0.3372, 0.4221)  1 Te 3.07, 3 Tl 3.27-3.37
Te (0.2931, 0.8710, 0.2082)  1 Te 3.07, 3 Tl 3.27-3.37
Te (0.5000, 0.5000, 0.0000)  10 Tl 3.44-3.56
Te (0.6628, 0.0848, 0.7918)  1 Te 3.07, 3 Tl 3.27-3.37
Te (0.9152, 0.7069, 0.5779)  1 Te 3.07, 3 Tl 3.27-3.37

The density of states at the Fermi level is 5.69 states/eV/cell.

---

2 | DFT (PBE) results for a relaxed structure of Tl5Te3.

Unit cell a=9.7578 b=9.7578 c=9.7578 alpha=96.51 beta=96.51 gamma=140.64
Closest atoms and distances in Å follow each position.
Element x y z (fractional)
Tl (0.0857, 0.7796, 0.8653)  6 Te 3.45-3.77, 1 Tl 3.56
Tl (0.2204, 0.0857, 0.3061)  6 Te 3.45-3.77, 1 Tl 3.56
Tl (0.2500, 0.7500, 0.5000)  2 Tl 3.29, 4 Te 3.31
Tl (0.2796, 0.5857, 0.8653)  6 Te 3.45-3.77, 1 Tl 3.56
Tl (0.4143, 0.2796, 0.6939)  6 Te 3.45-3.77, 1 Tl 3.56
Tl (0.5857, 0.7204, 0.3061)  6 Te 3.45-3.77, 1 Tl 3.56
Tl (0.7204, 0.4143, 0.1347)  6 Te 3.45-3.77, 1 Tl 3.56
Tl (0.7500, 0.2500, 0.5000)  2 Tl 3.29, 4 Te 3.31
Tl (0.7796, 0.9143, 0.6939)  6 Te 3.45-3.77, 1 Tl 3.56
Tl (0.9143, 0.2204, 0.1347)  6 Te 3.45-3.77, 1 Tl 3.56
Te (0.1564, 0.3436, 0.5000)  6 Tl 3.31-3.53
Te (0.2500, 0.2500, 0.0000)  2 Te 3.29, 8 Tl 3.48
Te (0.3436, 0.8436, 0.1872)  6 Tl 3.31-3.53
Te (0.6564, 0.1564, 0.8128)  6 Tl 3.31-3.53
Te (0.7500, 0.7500, 0.0000)  2 Te 3.29, 8 Tl 3.48
Te (0.8436, 0.6564, 0.5000)  6 Tl 3.31-3.53

The density of states at the Fermi level is 5.82 states/eV/cell.

---

3 | DFT (PBE) results for a relaxed structure of Tl5Te3.

Unit cell a=9.7430 b=9.7430 c=7.0232 alpha=90.00 beta=90.00 gamma=120.00
Closest atoms and distances in Å follow each position.
Element x y z (fractional)
Tl (0.0000, 0.2878, 0.2500)  5 Te 3.30-3.61
Tl (0.0000, 0.7122, 0.7500)  5 Te 3.30-3.61
Tl (0.2878, 0.0000, 0.2500)  5 Te 3.30-3.61
Tl (0.2878, 0.2878, 0.7500)  5 Te 3.30-3.61
Tl (0.3333, 0.6667, 0.0000)  8 Tl 3.51-3.91, 6 Te 3.54
Tl (0.3333, 0.6667, 0.5000)  8 Tl 3.51-3.91, 6 Te 3.54
Tl (0.6667, 0.3333, 0.0000)  8 Tl 3.51-3.91, 6 Te 3.54
Tl (0.6667, 0.3333, 0.5000)  8 Tl 3.51-3.91, 6 Te 3.54
Tl (0.7122, 0.0000, 0.7500)  5 Te 3.30-3.61
Tl (0.7122, 0.7122, 0.2500)  5 Te 3.30-3.61
Te (0.0000, 0.3736, 0.7500)  9 Tl 3.30-3.61
Te (0.0000, 0.6264, 0.2500)  9 Tl 3.30-3.61
Te (0.3736, 0.0000, 0.7500)  9 Tl 3.30-3.61
Te (0.3736, 0.3736, 0.2500)  9 Tl 3.30-3.61
Te (0.6264, 0.0000, 0.2500)  9 Tl 3.30-3.61
Te (0.6264, 0.6264, 0.7500)  9 Tl 3.30-3.61

The density of states at the Fermi level is 11.70 states/eV/cell.

---

4 | DFT (PBE) results for a relaxed structure of Tl5Te3.

Unit cell a=9.1467 b=9.1467 c=9.1467 alpha=120.88 beta=120.88 gamma=88.48
Closest atoms and distances in Å follow each position.
Element x y z (fractional)
Tl (0.0000, 0.0000, 0.0000)  6 Te 3.28-3.40
Tl (0.0077, 0.5077, 0.2030)  3 Te 3.21-3.44, 1 Tl 3.57
Tl (0.1953, 0.9923, 0.5000)  3 Te 3.21-3.44, 1 Tl 3.57
Tl (0.3047, 0.8047, 0.7970)  3 Te 3.21-3.44, 1 Tl 3.57
Tl (0.4923, 0.6953, 0.5000)  3 Te 3.21-3.44, 1 Tl 3.57
Tl (0.5000, 0.5000, 0.0000)  6 Te 3.28-3.40
Tl (0.5077, 0.3047, 0.5000)  3 Te 3.21-3.44, 1 Tl 3.57
Tl (0.6953, 0.1953, 0.2030)  3 Te 3.21-3.44, 1 Tl 3.57
Tl (0.8047, 0.0077, 0.5000)  3 Te 3.21-3.44, 1 Tl 3.57
Tl (0.9923, 0.4923, 0.7970)  3 Te 3.21-3.44, 1 Tl 3.57
Te (0.1577, 0.3423, 0.5000)  8 Tl 3.21-3.44
Te (0.2500, 0.2500, 0.0000)  10 Tl 3.28-3.66
Te (0.3423, 0.8423, 0.1845)  8 Tl 3.21-3.44
Te (0.6577, 0.1577, 0.8155)  8 Tl 3.21-3.44
Te (0.7500, 0.7500, 0.0000)  10 Tl 3.28-3.66
Te (0.8423, 0.6577, 0.5000)  8 Tl 3.21-3.44

The density of states at the Fermi level is 5.45 states/eV/cell.

---

Which is the most stable structure? 4 is the most stable.